[1]
Here is a relaxed structure of MnSiTc2C from Alexandria. Energies are from PBE.

abc: 4.0690 4.0690 3.7479
angles: 90.00 90.00 90.00
Closest atoms and distances in Å follow each position.
Sites, in units of the cell vectors:
Mn: 0.0000 0.0000 0.0000  2 C 1.87
Si: 0.5000 0.5000 0.0000  8 Tc 2.77, 4 Mn 2.88
Tc: 0.0000 0.5000 0.5000  2 C 2.03
Tc: 0.5000 0.0000 0.5000  2 C 2.03
C: 0.0000 0.0000 0.5000  2 Mn 1.87, 4 Tc 2.03

crystal system	tetragonal
magnetization	2.282	μB per cell

[2]
Here is a relaxed structure of ThMn2SiC from Alexandria. Energies are from PBE.

abc: 5.7224 5.7224 7.0722
angles: 90.00 90.00 140.74
Closest atoms and distances in Å follow each position.
Sites, in units of the cell vectors:
Th: 0.0497 0.9503 0.7500  4 C 2.67
Th: 0.9503 0.0497 0.2500  4 C 2.67
Mn: 0.3317 0.6683 0.5614  1 C 1.87
Mn: 0.3317 0.6683 0.9386  1 C 1.87
Mn: 0.6683 0.3317 0.0614  1 C 1.87
Mn: 0.6683 0.3317 0.4386  1 C 1.87
Si: 0.2308 0.7692 0.2500  6 Mn 2.44-2.46
Si: 0.7692 0.2308 0.7500  6 Mn 2.44-2.46
C: 0.5000 0.5000 0.0000  2 Mn 1.87
C: 0.5000 0.5000 0.5000  2 Mn 1.87

crystal system	orthorhombic
magnetization	4.760	μB per cell

[3]
Here is a relaxed structure of TmMn2Si2C from Alexandria. Energies are from PBE.

abc: 3.8741 3.8741 5.1503
angles: 90.00 90.00 90.00
Closest atoms and distances in Å follow each position.
Sites, in units of the cell vectors:
Tm: 0.0000 0.0000 0.0000  2 C 2.58
Mn: 0.0000 0.5000 0.5000  2 C 1.94
Mn: 0.5000 0.0000 0.5000  2 C 1.94
Si: 0.5000 0.5000 0.2286  1 Si 2.36, 4 Mn 2.39
Si: 0.5000 0.5000 0.7714  1 Si 2.36, 4 Mn 2.39
C: 0.0000 0.0000 0.5000  4 Mn 1.94

crystal system	tetragonal
magnetization	0.290	μB per cell

Number 1: E_form (uncorrected) -6.4 kJ/mol of formula units. Number 2: E_form (uncorrected) -229.9 kJ/mol of formula units. Number 3: E_form (uncorrected) -283.0 kJ/mol of formula units.